# 1
Entry from Alexandria: a relaxed structure of Pm4NdRh2 (PBE).

Cell lengths 4.088, 4.088, 15.199 Å; angles 82.27, 82.27, 60.00 degrees
Atoms (fractional coordinates):
Pm 0.102 0.102 0.695
Pm 0.898 0.898 0.305
Pm 0.300 0.300 0.101
Pm 0.700 0.700 0.899
Rh 0.599 0.599 0.202
Rh 0.401 0.401 0.798
Nd 0.500 0.500 0.500

The value obtained for the distance to the lowest polymorph of the same formula is 0.00 eV/f.u. As for the volume: 217.3 Å³ per cell. The calculation puts the formation energy at -2.701 eV per formula unit. The value obtained for the total magnetic moment is 0.001 μB per formula unit.


# 2
Entry from Alexandria: a relaxed structure of Pm2NdRh (PBE).

Cell lengths 3.596, 3.596, 8.864 Å; angles 90.00, 90.00, 90.00 degrees
Atoms (fractional coordinates):
Pm 0.000 0.000 0.188
Pm 0.000 0.000 0.812
Nd 0.500 0.500 0.500
Rh 0.500 0.500 0.000

The value obtained for the distance to the lowest polymorph of the same formula is 0.50 eV/f.u. As for the volume: 114.6 Å³ per cell. The calculation puts the formation energy at -1.251 eV per formula unit. The value obtained for the total magnetic moment is 0.000 μB per formula unit.


Question: Which of these has the highest distance to the lowest polymorph of the same formula?
Answer: Pm2NdRh